This record from Alexandria via LeMat-Bulk describes a geometry-optimized CoF3 structure. The functional is PBE+U.

Calculated values
Its crystal system is monoclinic. As for the space group: No. 15. As for the total energy: -4.45 eV/atom.

Unit cell a=8.6757 b=4.9299 c=5.3316 alpha=90.00 beta=124.88 gamma=90.00
Fractional coordinates of all 16 atoms:
Co 0.2500 0.2500 0.0000
Co 0.2500 0.7500 0.5000
Co 0.7500 0.2500 0.5000
Co 0.7500 0.7500 0.0000
F 0.0000 0.1180 0.7500
F 0.0000 0.8820 0.2500
F 0.1867 0.4491 0.2568
F 0.1867 0.5509 0.7568
F 0.3133 0.0509 0.7432
F 0.3133 0.9491 0.2432
F 0.5000 0.3820 0.2500
F 0.5000 0.6180 0.7500
F 0.6867 0.0509 0.7568
F 0.6867 0.9491 0.2568
F 0.8133 0.4491 0.2432
F 0.8133 0.5509 0.7432